A relaxed TmLuPO crystal, computed with PBE-GGA.

Summary:
The calculation puts the offset from the most stable computed form at 0.0 meV per atom. Its space group is No. 26. For the volume, the calculation gives 20.84 Å³/atom.

```
data_TmLuPO
_symmetry_space_group_name_H-M 'P 1'
_symmetry_Int_Tables_number 1
_cell_length_a 4.0747
_cell_length_b 7.3064
_cell_length_c 5.5996
_cell_angle_alpha 90.00
_cell_angle_beta 90.00
_cell_angle_gamma 90.00
loop_
_symmetry_equiv_pos_as_xyz
'x,y,z'
loop_
_atom_site_label
_atom_site_type_symbol
_atom_site_fract_x
_atom_site_fract_y
_atom_site_fract_z
Lu1 Lu 0.0000 0.6217 0.4994
Lu2 Lu 0.0000 0.3783 0.9994
O1 O 0.0000 0.3311 0.3833
O2 O 0.0000 0.6689 0.8833
P1 P 0.5000 0.8392 0.4319
P2 P 0.5000 0.1608 0.9319
Tm1 Tm 0.5000 0.2079 0.4394
Tm2 Tm 0.5000 0.7921 0.9394
```